(1)
## LiSbPO5 (meta-GGA SCAN)

Data for a crystal of LiSbPO5 relaxed with PBEsol.

CIF file:
```
data_LiSbPO5
_cell_length_a 5.490
_cell_length_b 5.490
_cell_length_c 7.426
_cell_angle_alpha 106.43
_cell_angle_beta 106.43
_cell_angle_gamma 97.84
_symmetry_space_group_name_H-M 'P 1'
_symmetry_Int_Tables_number 1
loop_
_symmetry_equiv_pos_as_xyz
'x,y,z'
loop_
_atom_site_label
_atom_site_fract_x
_atom_site_fract_y
_atom_site_fract_z
_atom_site_occupancy
O1 0.676 0.162 0.876 1
O2 0.162 0.676 0.376 1
O3 0.724 0.634 0.902 1
O4 0.092 0.904 0.744 1
O5 0.327 0.856 0.139 1
O6 0.298 0.376 0.109 1
O7 0.376 0.298 0.609 1
O8 0.904 0.092 0.244 1
O9 0.856 0.327 0.639 1
O10 0.634 0.724 0.402 1
P1 0.353 0.658 0.254 1
P2 0.658 0.353 0.754 1
Sb1 0.991 0.994 0.492 1
Sb2 0.994 0.991 0.992 1
Li1 0.577 0.184 0.133 1
Li2 0.184 0.577 0.633 1
```

formation energy from raw total energies: -2.026 eV per atom
SG: Cc (9)
DOS at the Fermi energy: 0.93 states/eV per cell
ΔE to the lowest computed polymorph: 0.059 eV/atom

***

(2)
## LiSbP2O7 (meta-GGA SCAN)

Data for a crystal of LiSbP2O7 relaxed with PBEsol.

CIF file:
```
data_LiSbP2O7
_cell_length_a 4.946
_cell_length_b 8.066
_cell_length_c 13.633
_cell_angle_alpha 103.58
_cell_angle_beta 90.00
_cell_angle_gamma 90.00
_symmetry_space_group_name_H-M 'P 1'
_symmetry_Int_Tables_number 1
loop_
_symmetry_equiv_pos_as_xyz
'x,y,z'
loop_
_atom_site_label
_atom_site_fract_x
_atom_site_fract_y
_atom_site_fract_z
_atom_site_occupancy
O1 0.935 0.322 0.684 1
O2 0.541 0.567 0.324 1
O3 0.619 0.916 0.399 1
O4 0.643 0.240 0.470 1
O5 0.435 0.178 0.816 1
O6 0.041 0.933 0.176 1
O7 0.143 0.433 0.400 1
O8 0.569 0.430 0.091 1
O9 0.357 0.760 0.530 1
O10 0.069 0.070 0.409 1
O11 0.119 0.584 0.101 1
O12 0.881 0.416 0.899 1
O13 0.065 0.678 0.316 1
O14 0.959 0.067 0.824 1
O15 0.357 0.933 0.900 1
O16 0.857 0.567 0.600 1
O17 0.196 0.385 0.213 1
O18 0.643 0.067 0.100 1
O19 0.857 0.740 0.970 1
O20 0.804 0.615 0.787 1
O21 0.431 0.570 0.909 1
O22 0.143 0.260 0.030 1
O23 0.696 0.115 0.287 1
O24 0.459 0.433 0.676 1
O25 0.381 0.084 0.601 1
O26 0.565 0.822 0.184 1
O27 0.304 0.885 0.713 1
O28 0.931 0.930 0.591 1
P1 0.237 0.915 0.604 1
P2 0.737 0.585 0.896 1
P3 0.263 0.415 0.104 1
P4 0.762 0.480 0.679 1
P5 0.238 0.520 0.321 1
P6 0.262 0.020 0.821 1
P7 0.738 0.980 0.179 1
P8 0.763 0.085 0.396 1
Li1 0.734 0.117 0.702 1
Li2 0.766 0.617 0.202 1
Li3 0.234 0.383 0.798 1
Li4 0.266 0.883 0.298 1
Sb1 0.247 0.291 0.538 1
Sb2 0.753 0.709 0.462 1
Sb3 0.747 0.209 0.962 1
Sb4 0.253 0.791 0.038 1
```

formation energy from raw total energies: -2.239 eV per atom
SG: P2_1/c (14)
DOS at the Fermi energy: 0.00 states/eV per cell

***

(3)
## LiSb2P5O16 (meta-GGA SCAN)

Data for a crystal of LiSb2P5O16 relaxed with PBEsol.

CIF file:
```
data_LiSb2P5O16
_cell_length_a 7.116
_cell_length_b 10.014
_cell_length_c 10.954
_cell_angle_alpha 90.00
_cell_angle_beta 90.00
_cell_angle_gamma 107.72
_symmetry_space_group_name_H-M 'P 1'
_symmetry_Int_Tables_number 1
loop_
_symmetry_equiv_pos_as_xyz
'x,y,z'
loop_
_atom_site_label
_atom_site_fract_x
_atom_site_fract_y
_atom_site_fract_z
_atom_site_occupancy
O1 0.477 0.478 0.243 1
O2 0.459 0.199 0.847 1
O3 0.678 0.112 0.515 1
O4 0.161 0.957 0.257 1
O5 0.317 0.040 0.469 1
O6 0.161 0.457 0.743 1
O7 0.026 0.608 0.597 1
O8 0.458 0.721 0.744 1
O9 0.244 0.323 0.941 1
O10 0.774 0.194 0.764 1
O11 0.232 0.088 0.027 1
O12 0.460 0.363 0.445 1
O13 0.992 0.350 0.552 1
O14 0.536 0.939 0.337 1
O15 0.641 0.555 0.037 1
O16 0.774 0.694 0.236 1
O17 0.026 0.108 0.403 1
O18 0.232 0.588 0.973 1
O19 0.477 0.978 0.757 1
O20 0.536 0.439 0.663 1
O21 0.774 0.410 0.320 1
O22 0.094 0.099 0.816 1
O23 0.458 0.221 0.256 1
O24 0.460 0.863 0.555 1
O25 0.678 0.612 0.485 1
O26 0.992 0.850 0.448 1
O27 0.774 0.910 0.680 1
O28 0.641 0.055 0.963 1
O29 0.459 0.699 0.153 1
O30 0.244 0.823 0.059 1
O31 0.094 0.599 0.184 1
O32 0.317 0.540 0.531 1
P1 0.112 0.990 0.389 1
P2 0.511 0.493 0.540 1
P3 0.242 0.174 0.911 1
P4 0.548 0.861 0.689 1
P5 0.548 0.361 0.311 1
P6 0.601 0.106 0.842 1
P7 0.511 0.993 0.460 1
P8 0.242 0.674 0.089 1
P9 0.112 0.490 0.611 1
P10 0.601 0.606 0.158 1
Li1 0.887 0.247 0.402 1
Li2 0.887 0.747 0.598 1
Sb1 0.951 0.134 0.645 1
Sb2 0.406 0.511 0.856 1
Sb3 0.951 0.634 0.355 1
Sb4 0.406 0.011 0.144 1
```

formation energy from raw total energies: -2.171 eV per atom
SG: Pc (7)
DOS at the Fermi energy: 0.00 states/eV per cell